(1)
Compound: LiTbLuGe
Source: the Alexandria database
Functional: PBE-GGA
Structure: relaxed

The structure in CIF format:
```
data_LiTbLuGe
_cell_length_a 4.9733
_cell_length_b 4.9733
_cell_length_c 4.9733
_cell_angle_alpha 60.00
_cell_angle_beta 60.00
_cell_angle_gamma 60.00
_space_group_name_H-M_alt 'P 1'
_space_group_IT_number 1
loop_
_space_group_symop_operation_xyz
'x,y,z'
loop_
_atom_site_label
_atom_site_fract_x
_atom_site_fract_y
_atom_site_fract_z
Li1 0.0000 0.0000 0.0000
Tb1 0.2500 0.2500 0.2500
Lu1 0.7500 0.7500 0.7500
Ge1 0.5000 0.5000 0.5000
```

(2)
# PBE-GGA IrRu5, relaxed
# Distance to the lowest polymorph of the same formula, eV/atom: 0.6703
data_IrRu5
_cell_length_a 5.0131
_cell_length_b 5.0131
_cell_length_c 5.0131
_cell_angle_alpha 60.00
_cell_angle_beta 60.00
_cell_angle_gamma 60.00
_space_group_name_H-M_alt 'P 1'
_space_group_IT_number 1
loop_
_space_group_symop_operation_xyz
'x,y,z'
loop_
_atom_site_label
_atom_site_fract_x
_atom_site_fract_y
_atom_site_fract_z
Ir1 0.0000 0.0000 0.0000
Ru1 0.1246 0.6251 0.6251
Ru2 0.2500 0.2500 0.2500
Ru3 0.6251 0.1246 0.6251
Ru4 0.6251 0.6251 0.1246
Ru5 0.6251 0.6251 0.6251

(3)
Compound: Mg2AlW
Source: the Alexandria database
Functional: PBE-GGA
Structure: relaxed

The structure in CIF format:
```
data_Mg2AlW
_cell_length_a 5.9246
_cell_length_b 5.9246
_cell_length_c 5.9246
_cell_angle_alpha 101.81
_cell_angle_beta 101.81
_cell_angle_gamma 126.21
_space_group_name_H-M_alt 'P 1'
_space_group_IT_number 1
loop_
_space_group_symop_operation_xyz
'x,y,z'
loop_
_atom_site_label
_atom_site_fract_x
_atom_site_fract_y
_atom_site_fract_z
Mg1 0.1120 0.1250 0.4870
Mg2 0.3750 0.8880 0.0130
Mg3 0.6380 0.6250 0.5130
Mg4 0.8750 0.3620 0.9870
Al1 0.0000 0.0000 0.0000
Al2 0.7500 0.2500 0.5000
W1 0.2500 0.7500 0.5000
W2 0.5000 0.5000 0.0000
```

(4)
Compound: GdErGa4
Source: the Alexandria database
Functional: PBE-GGA
Structure: relaxed

The structure in CIF format:
```
data_GdErGa4
_cell_length_a 5.5111
_cell_length_b 5.5111
_cell_length_c 5.5111
_cell_angle_alpha 60.00
_cell_angle_beta 60.00
_cell_angle_gamma 60.00
_space_group_name_H-M_alt 'P 1'
_space_group_IT_number 1
loop_
_space_group_symop_operation_xyz
'x,y,z'
loop_
_atom_site_label
_atom_site_fract_x
_atom_site_fract_y
_atom_site_fract_z
Gd1 0.0000 0.0000 0.0000
Er1 0.2500 0.2500 0.2500
Ga1 0.1249 0.6250 0.6250
Ga2 0.6250 0.1249 0.6250
Ga3 0.6250 0.6250 0.1249
Ga4 0.6250 0.6250 0.6250
```

Number 1: E -4.31 eV per atom, DOS(E_F) 2.648 states/eV per cell. Number 2: E -8.57 eV per atom, DOS(E_F) 12.691 states/eV per cell. Number 3: E -4.18 eV per atom, DOS(E_F) 8.951 states/eV per cell. Number 4: E -5.68 eV per atom, DOS(E_F) 3.107 states/eV per cell.